A relaxed Pr2Sm8Hg crystal, computed with PBE.

Summary:
Energy above the lowest structure with this stoichiometry in eV/atom: 0.060
Calculated volume in Å³ per cell: 732.2
Formation energy in kJ/mol of formula units: 23
Theoretical density in g cm⁻³: 7.64

Unit cell a=17.770 b=5.577 c=7.914 alpha=90.00 beta=111.01 gamma=90.00
Space group C2/m (No. 12)
One atom of each set of equivalent atoms:
Pr  0.187  0.000  0.160 (multiplicity 4)
Sm  0.016  0.000  0.269 (multiplicity 4)
Sm  0.099  0.500  0.928 (multiplicity 4)
Sm  0.164  0.500  0.428 (multiplicity 4)
Sm  0.181  0.000  0.732 (multiplicity 4)
Hg  0.000  0.500  0.500 (multiplicity 2)